First-principles (PBE-GGA) data for a relaxed GdTe2Pb crystal, as listed in Alexandria.

Lattice parameters (Å, degrees): 4.5399 4.5399 22.6983 90.00 90.00 120.00
With the nearest neighbours (Å) after each atom.
Space group R-3m (No. 166, hexagonal axes)
Inequivalent atoms, fractional coordinates:
Gd 0.0000 0.0000 0.0000  6 Te 3.18
Te 0.0000 0.0000 0.2542  3 Gd 3.18, 3 Pb 3.29
Pb 0.0000 0.0000 0.5000  6 Te 3.29

Crystal system = trigonal
Raw formation energy = -312.0 kJ/mol of formula units
E above lowest polymorph = 0.000 eV/atom
V = 33.76 Å³ per atom